No. 1
The following is a SCAN calculation of a PBEsol-optimized structure of RbTeN2O, from Alexandria.

It has space group P4/mmm (No. 123), with a = 4.0573 Å, b = 4.0573 Å, c = 4.1899 Å, α = 90.00°, β = 90.00° and γ = 90.00°. The inequivalent atoms are Rb at (0.0000, 0.0000, 0.0000), Te at (0.5000, 0.5000, 0.5000), N at (0.0000, 0.5000, 0.5000) and O at (0.5000, 0.5000, 0.0000).

For the calculated total energy, the calculation gives -16.073 eV/atom. The density of states at the Fermi level is 0.685 states/eV/atom.

No. 2
The following is a SCAN calculation of a PBEsol-optimized structure of RbYNO2, from Alexandria.

It has space group P4/mmm (No. 123), with a = 4.1734 Å, b = 4.1734 Å, c = 4.3270 Å, α = 90.00°, β = 90.00° and γ = 90.00°. The inequivalent atoms are Rb at (0.0000, 0.0000, 0.0000), Y at (0.5000, 0.5000, 0.5000), N at (0.0000, 0.0000, 0.5000) and O at (0.0000, 0.5000, 0.0000).

For the calculated total energy, the calculation gives -13.706 eV/atom. The density of states at the Fermi level is 0.142 states/eV/atom.

No. 3
The following is a SCAN calculation of a PBEsol-optimized structure of RbYNO2, from Alexandria.

It has space group P4/mmm (No. 123), with a = 4.4102 Å, b = 4.4102 Å, c = 4.7204 Å, α = 90.00°, β = 90.00° and γ = 90.00°. The inequivalent atoms are Rb at (0.0000, 0.0000, 0.0000), Y at (0.5000, 0.5000, 0.5000), N at (0.5000, 0.5000, 0.0000) and O at (0.0000, 0.5000, 0.5000).

For the calculated total energy, the calculation gives -15.368 eV/atom. The density of states at the Fermi level is 0.393 states/eV/atom.

No. 4
The following is a SCAN calculation of a PBEsol-optimized structure of RbZnNO2, from Alexandria.

It has space group P4/mmm (No. 123), with a = 4.9596 Å, b = 4.9596 Å, c = 5.3438 Å, α = 90.00°, β = 90.00° and γ = 90.00°. The inequivalent atoms are Rb at (0.0000, 0.0000, 0.0000), Zn at (0.5000, 0.5000, 0.5000), N at (0.0000, 0.0000, 0.5000) and O at (0.0000, 0.5000, 0.0000).

For the calculated total energy, the calculation gives -9.718 eV/atom. The density of states at the Fermi level is 0.362 states/eV/atom.

No. 5
The following is a SCAN calculation of a PBEsol-optimized structure of ReNO2, from Alexandria.

It has space group R-3m (No. 166, hexagonal axes), with a = 2.7256 Å, b = 2.7256 Å, c = 19.0739 Å, α = 90.00°, β = 90.00° and γ = 120.00°. The inequivalent atoms are Re at (0.0000, 0.0000, 0.0000), N at (0.0000, 0.0000, 0.5000) and O at (0.0000, 0.0000, 0.4040).

For the calculated total energy, the calculation gives -22.663 eV/atom. The density of states at the Fermi level is 0.262 states/eV/atom.

No. 6
The following is a SCAN calculation of a PBEsol-optimized structure of ReNO2, from Alexandria.

It has space group I4_1/amd (No. 141, origin choice 2), with a = 5.6237 Å, b = 5.6237 Å, c = 9.5048 Å, α = 90.00°, β = 90.00° and γ = 90.00°. The inequivalent atoms are Re at (0.0000, 0.2500, 0.3750), N at (0.0000, 0.2500, 0.8750) and O at (0.0000, 0.0000, 0.5000).

For the calculated total energy, the calculation gives -22.667 eV/atom. The density of states at the Fermi level is 0.564 states/eV/atom.

No. 7
The following is a SCAN calculation of a PBEsol-optimized structure of ReRuN2O, from Alexandria.

It has space group P4/mmm (No. 123), with a = 3.8853 Å, b = 3.8853 Å, c = 3.7858 Å, α = 90.00°, β = 90.00° and γ = 90.00°. The inequivalent atoms are Re at (0.0000, 0.0000, 0.0000), Ru at (0.5000, 0.5000, 0.5000), N at (0.0000, 0.5000, 0.0000) and O at (0.0000, 0.0000, 0.5000).

For the calculated total energy, the calculation gives -25.604 eV/atom. The density of states at the Fermi level is 0.495 states/eV/atom.

No. 8
The following is a SCAN calculation of a PBEsol-optimized structure of ReRuNO2, from Alexandria.

It has space group P4/mmm (No. 123), with a = 3.7167 Å, b = 3.7167 Å, c = 4.0581 Å, α = 90.00°, β = 90.00° and γ = 90.00°. The inequivalent atoms are Re at (0.0000, 0.0000, 0.0000), Ru at (0.5000, 0.5000, 0.5000), N at (0.5000, 0.5000, 0.0000) and O at (0.0000, 0.5000, 0.5000).

For the calculated total energy, the calculation gives -24.747 eV/atom. The density of states at the Fermi level is 0.561 states/eV/atom.

No. 9
The following is a SCAN calculation of a PBEsol-optimized structure of TaReN2O, from Alexandria.

It has space group P4/mmm (No. 123), with a = 3.8781 Å, b = 3.8781 Å, c = 3.7490 Å, α = 90.00°, β = 90.00° and γ = 90.00°. The inequivalent atoms are Ta at (0.0000, 0.0000, 0.0000), Re at (0.5000, 0.5000, 0.5000), N at (0.0000, 0.5000, 0.5000) and O at (0.5000, 0.5000, 0.0000).

For the calculated total energy, the calculation gives -32.107 eV/atom. The density of states at the Fermi level is 0.683 states/eV/atom.

No. 10
The following is a SCAN calculation of a PBEsol-optimized structure of RhSN2O, from Alexandria.

It has space group P4/mmm (No. 123), with a = 3.6716 Å, b = 3.6716 Å, c = 3.6662 Å, α = 90.00°, β = 90.00° and γ = 90.00°. The inequivalent atoms are Rh at (0.0000, 0.0000, 0.0000), S at (0.5000, 0.5000, 0.0000), N at (0.0000, 0.5000, 0.5000) and O at (0.5000, 0.5000, 0.5000).

For the calculated total energy, the calculation gives -11.538 eV/atom. The density of states at the Fermi level is 0.435 states/eV/atom.

No. 11
The following is a SCAN calculation of a PBEsol-optimized structure of RhSN2O, from Alexandria.

It has space group P4/mmm (No. 123), with a = 3.6964 Å, b = 3.6964 Å, c = 3.2633 Å, α = 90.00°, β = 90.00° and γ = 90.00°. The inequivalent atoms are Rh at (0.0000, 0.0000, 0.0000), S at (0.5000, 0.5000, 0.5000), N at (0.0000, 0.5000, 0.5000) and O at (0.5000, 0.5000, 0.0000).

For the calculated total energy, the calculation gives -12.217 eV/atom. The density of states at the Fermi level is 0.305 states/eV/atom.

No. 12
The following is a SCAN calculation of a PBEsol-optimized structure of RhSN2O, from Alexandria.

It has space group P4/mmm (No. 123), with a = 3.5966 Å, b = 3.5966 Å, c = 5.1066 Å, α = 90.00°, β = 90.00° and γ = 90.00°. The inequivalent atoms are Rh at (0.0000, 0.0000, 0.0000), S at (0.0000, 0.0000, 0.5000), N at (0.0000, 0.5000, 0.0000) and O at (0.5000, 0.5000, 0.5000).

For the calculated total energy, the calculation gives -12.110 eV/atom. The density of states at the Fermi level is 0.665 states/eV/atom.

No. 13
The following is a SCAN calculation of a PBEsol-optimized structure of RhSN2O, from Alexandria.

It has space group P4/mmm (No. 123), with a = 3.7964 Å, b = 3.7964 Å, c = 3.8115 Å, α = 90.00°, β = 90.00° and γ = 90.00°. The inequivalent atoms are Rh at (0.0000, 0.0000, 0.0000), S at (0.5000, 0.5000, 0.5000), N at (0.0000, 0.5000, 0.0000) and O at (0.0000, 0.0000, 0.5000).

For the calculated total energy, the calculation gives -12.311 eV/atom. The density of states at the Fermi level is 0.472 states/eV/atom.

No. 14
The following is a SCAN calculation of a PBEsol-optimized structure of SiRhNO2, from Alexandria.

It has space group P4/mmm (No. 123), with a = 3.9652 Å, b = 3.9652 Å, c = 3.6215 Å, α = 90.00°, β = 90.00° and γ = 90.00°. The inequivalent atoms are Si at (0.0000, 0.0000, 0.0000), Rh at (0.5000, 0.5000, 0.5000), N at (0.5000, 0.5000, 0.0000) and O at (0.0000, 0.5000, 0.5000).

For the calculated total energy, the calculation gives -12.775 eV/atom. The density of states at the Fermi level is 0.365 states/eV/atom.

No. 15
The following is a SCAN calculation of a PBEsol-optimized structure of SiRhN2O, from Alexandria.

It has space group P4/mmm (No. 123), with a = 3.6150 Å, b = 3.6150 Å, c = 3.4057 Å, α = 90.00°, β = 90.00° and γ = 90.00°. The inequivalent atoms are Si at (0.0000, 0.0000, 0.0000), Rh at (0.5000, 0.5000, 0.5000), N at (0.0000, 0.5000, 0.0000) and O at (0.0000, 0.0000, 0.5000).

For the calculated total energy, the calculation gives -13.663 eV/atom. The density of states at the Fermi level is 0.538 states/eV/atom.

No. 16
The following is a SCAN calculation of a PBEsol-optimized structure of TaRhNO2, from Alexandria.

It has space group P4/mmm (No. 123), with a = 3.7572 Å, b = 3.7572 Å, c = 3.8563 Å, α = 90.00°, β = 90.00° and γ = 90.00°. The inequivalent atoms are Ta at (0.0000, 0.0000, 0.0000), Rh at (0.5000, 0.5000, 0.5000), N at (0.5000, 0.5000, 0.0000) and O at (0.0000, 0.5000, 0.5000).

For the calculated total energy, the calculation gives -24.234 eV/atom. The density of states at the Fermi level is 0.471 states/eV/atom.

No. 17
The following is a SCAN calculation of a PBEsol-optimized structure of ZnRhNO2, from Alexandria.

It has space group P4/mmm (No. 123), with a = 3.9887 Å, b = 3.9887 Å, c = 3.5740 Å, α = 90.00°, β = 90.00° and γ = 90.00°. The inequivalent atoms are Zn at (0.0000, 0.0000, 0.0000), Rh at (0.5000, 0.5000, 0.5000), N at (0.5000, 0.5000, 0.0000) and O at (0.0000, 0.5000, 0.5000).

For the calculated total energy, the calculation gives -13.655 eV/atom. The density of states at the Fermi level is 0.393 states/eV/atom.

No. 18
The following is a SCAN calculation of a PBEsol-optimized structure of ScRuN2O, from Alexandria.

It has space group P4/mmm (No. 123), with a = 3.7391 Å, b = 3.7391 Å, c = 3.9505 Å, α = 90.00°, β = 90.00° and γ = 90.00°. The inequivalent atoms are Sc at (0.0000, 0.0000, 0.0000), Ru at (0.5000, 0.5000, 0.5000), N at (0.0000, 0.5000, 0.5000) and O at (0.5000, 0.5000, 0.0000).

For the calculated total energy, the calculation gives -15.295 eV/atom. The density of states at the Fermi level is 0.445 states/eV/atom.

No. 19
The following is a SCAN calculation of a PBEsol-optimized structure of ScRuNO2, from Alexandria.

It has space group P4/mmm (No. 123), with a = 3.8857 Å, b = 3.8857 Å, c = 3.6881 Å, α = 90.00°, β = 90.00° and γ = 90.00°. The inequivalent atoms are Sc at (0.0000, 0.0000, 0.0000), Ru at (0.5000, 0.5000, 0.5000), N at (0.5000, 0.5000, 0.0000) and O at (0.0000, 0.5000, 0.5000).

For the calculated total energy, the calculation gives -15.261 eV/atom. The density of states at the Fermi level is 0.582 states/eV/atom.

No. 20
The following is a SCAN calculation of a PBEsol-optimized structure of SnRuNO2, from Alexandria.

It has space group P4/mmm (No. 123), with a = 3.9440 Å, b = 3.9440 Å, c = 4.1510 Å, α = 90.00°, β = 90.00° and γ = 90.00°. The inequivalent atoms are Sn at (0.0000, 0.0000, 0.0000), Ru at (0.5000, 0.5000, 0.5000), N at (0.0000, 0.0000, 0.5000) and O at (0.0000, 0.5000, 0.0000).

For the calculated total energy, the calculation gives -18.152 eV/atom. The density of states at the Fermi level is 0.266 states/eV/atom.